[1]
Density functional theory data (PBE-GGA) for an optimized crystal structure of Al2Ga2Sn.

Cell lengths 3.9801, 3.9801, 7.0395 Å; angles 73.58, 73.58, 90.00 degrees
Last column: nearest neighbours and their distance in Å.
Fractional positions:
1 Ga 0.7500 0.2500 0.5000  4 Al 2.74, 4 Ga 2.81
2 Ga 0.2500 0.7500 0.5000  4 Al 2.74, 4 Ga 2.81
3 Al 0.6037 0.6037 0.7927  1 Al 2.68, 4 Ga 2.74
4 Al 0.3963 0.3963 0.2073  1 Al 2.68, 4 Ga 2.74
5 Sn 0.0000 0.0000 0.0000  8 Al 3.12

Computed properties:
calculated formation energy = 2.2 kcal/mol of atoms
offset from the most stable computed form = 18 meV per atom
SG = No. 139

---

[2]
Density functional theory data (PBE-GGA) for an optimized crystal structure of AlGa3Sn.

Cell lengths 5.3302, 5.3302, 5.3302 Å; angles 90.00, 90.00, 90.00 degrees
Last column: nearest neighbours and their distance in Å.
Fractional positions:
1 Sn 0.0000 0.0000 0.0000  6 Ga 2.67
2 Ga 0.0000 0.0000 0.5000  2 Sn 2.67
3 Ga 0.0000 0.5000 0.0000  2 Sn 2.67
4 Ga 0.5000 0.0000 0.0000  2 Sn 2.67
5 Al 0.5000 0.5000 0.5000  12 Ga 3.77

Computed properties:
calculated formation energy = 16.3 kcal/mol of atoms
offset from the most stable computed form = 383 meV per atom
SG = No. 221

---

[3]
Density functional theory data (PBE-GGA) for an optimized crystal structure of AlGa5Sn.

Cell lengths 4.0544, 4.0544, 8.7524 Å; angles 90.00, 90.00, 90.00 degrees
Last column: nearest neighbours and their distance in Å.
Fractional positions:
1 Ga 0.5000 0.0000 0.2437  6 Ga 2.87-2.94, 2 Al 2.94, 2 Sn 3.02
2 Ga 0.0000 0.0000 0.0000  4 Al 2.87, 8 Ga 2.94
3 Ga 0.5000 0.0000 0.7563  6 Ga 2.87-2.94, 2 Al 2.94, 2 Sn 3.02
4 Ga 0.0000 0.5000 0.7563  6 Ga 2.87-2.94, 2 Al 2.94, 2 Sn 3.02
5 Ga 0.0000 0.5000 0.2437  6 Ga 2.87-2.94, 2 Al 2.94, 2 Sn 3.02
6 Sn 0.0000 0.0000 0.5000  8 Ga 3.02
7 Al 0.5000 0.5000 0.0000  12 Ga 2.87-2.94

Computed properties:
calculated formation energy = 1.3 kcal/mol of atoms
SG = No. 123

---

[4]
Density functional theory data (PBE-GGA) for an optimized crystal structure of Al2GaSn.

Cell lengths 3.3964, 3.3964, 7.0332 Å; angles 90.00, 90.00, 90.00 degrees
Last column: nearest neighbours and their distance in Å.
Fractional positions:
1 Al 0.0000 0.0000 0.2103  4 Ga 2.82, 1 Al 2.96, 4 Sn 3.15
2 Al 0.0000 0.0000 0.7897  4 Ga 2.82, 1 Al 2.96, 4 Sn 3.15
3 Sn 0.5000 0.5000 0.5000  8 Al 3.15, 4 Sn 3.40, 2 Ga 3.52
4 Ga 0.5000 0.5000 0.0000  8 Al 2.82

Computed properties:
calculated formation energy = 3.2 kcal/mol of atoms
offset from the most stable computed form = 8 meV per atom
SG = No. 123

---

[5]
Density functional theory data (PBE-GGA) for an optimized crystal structure of Al3Ga3Sn.

Cell lengths 7.1297, 7.1297, 7.1297 Å; angles 90.00, 90.00, 90.00 degrees
Last column: nearest neighbours and their distance in Å.
Fractional positions:
1 Ga 0.5000 0.7500 0.0000  4 Al 2.52
2 Ga 0.0000 0.5000 0.7500  4 Al 2.52
3 Ga 0.2500 0.0000 0.5000  4 Al 2.52
4 Ga 0.7500 0.0000 0.5000  4 Al 2.52
5 Ga 0.0000 0.5000 0.2500  4 Al 2.52
6 Ga 0.5000 0.2500 0.0000  4 Al 2.52
7 Al 0.0000 0.7500 0.5000  4 Ga 2.52
8 Al 0.5000 0.0000 0.7500  4 Ga 2.52
9 Al 0.0000 0.2500 0.5000  4 Ga 2.52
10 Al 0.2500 0.5000 0.0000  4 Ga 2.52
11 Al 0.5000 0.0000 0.2500  4 Ga 2.52
12 Al 0.7500 0.5000 0.0000  4 Ga 2.52
13 Sn 0.0000 0.0000 0.0000  12 Ga 3.99, 12 Al 3.99
14 Sn 0.5000 0.5000 0.5000  12 Al 3.99, 12 Ga 3.99

Computed properties:
calculated formation energy = 11.8 kcal/mol of atoms
SG = No. 223

---

[6]
Density functional theory data (PBE-GGA) for an optimized crystal structure of AlGa2Sn.

Cell lengths 4.5981, 4.2559, 4.2559 Å; angles 90.00, 90.00, 90.00 degrees
Last column: nearest neighbours and their distance in Å.
Fractional positions:
1 Ga 0.0000 0.5000 0.0000  4 Ga 3.01, 4 Al 3.13, 4 Sn 3.13
2 Ga 0.0000 0.0000 0.5000  4 Ga 3.01, 4 Al 3.13, 4 Sn 3.13
3 Al 0.5000 0.5000 0.5000  4 Sn 3.01, 8 Ga 3.13
4 Sn 0.5000 0.0000 0.0000  4 Al 3.01, 8 Ga 3.13

Computed properties:
calculated formation energy = 2.3 kcal/mol of atoms
offset from the most stable computed form = 32 meV per atom
SG = No. 123

---

[7]
Density functional theory data (PBE-GGA) for an optimized crystal structure of AlGa3Sn.

Cell lengths 4.9661, 4.9661, 4.9661 Å; angles 90.00, 90.00, 90.00 degrees
Last column: nearest neighbours and their distance in Å.
Fractional positions:
1 Ga 0.0000 0.5000 0.0000  2 Al 2.48
2 Ga 0.0000 0.0000 0.5000  2 Al 2.48
3 Ga 0.5000 0.0000 0.0000  2 Al 2.48
4 Al 0.0000 0.0000 0.0000  6 Ga 2.48
5 Sn 0.5000 0.5000 0.5000  12 Ga 3.51

Computed properties:
calculated formation energy = 7.4 kcal/mol of atoms
offset from the most stable computed form = 0 meV per atom
SG = No. 221

---

[8]
Density functional theory data (PBE-GGA) for an optimized crystal structure of Al2Ga4Sn.

Cell lengths 5.4073, 5.6401, 5.7419 Å; angles 67.77, 62.83, 64.47 degrees
Last column: nearest neighbours and their distance in Å.
Fractional positions:
1 Al 0.7541 0.5088 0.4913  2 Al 2.66-2.75, 5 Ga 2.77-2.95
2 Al 0.2459 0.4912 0.5087  2 Al 2.66-2.75, 5 Ga 2.77-2.95
3 Ga 0.2991 0.9921 0.4075  3 Ga 2.64-2.88, 3 Al 2.78-2.95
4 Ga 0.3004 0.4095 0.9929  3 Ga 2.64-2.93, 2 Al 2.77-2.85
5 Ga 0.6996 0.5905 0.0071  3 Ga 2.64-2.93, 2 Al 2.77-2.85
6 Ga 0.7009 0.0079 0.5925  3 Ga 2.64-2.88, 3 Al 2.78-2.95
7 Sn 0.0000 0.0000 0.0000  8 Ga 3.02-3.38, 2 Al 3.35

Computed properties:
calculated formation energy = 1.2 kcal/mol of atoms
SG = No. 2